## BaTaIn2 (SCAN)

Data for a PBEsol-optimized structure of BaTaIn2.

Calculated values
Energy above the most stable polymorph in this dataset = 0.0 meV/atom
Calculated density = 8.49 g cm⁻³
V = 107.2 Å³/f.u.
M_tot = 0.0 μB per formula unit
Electronic total energy = -171.81 eV per formula unit

Geometry as CIF:
```
data_BaTaIn2
_space_group_name_H-M_alt 'C 1 2/m 1'
_space_group_IT_number 12
_cell_length_a 9.5100
_cell_length_b 3.1176
_cell_length_c 7.2629
_cell_angle_alpha 90.00
_cell_angle_beta 95.53
_cell_angle_gamma 90.00
loop_
_space_group_symop_operation_xyz
'x,y,z'
'-x,-y,-z'
'-x,y,-z'
'x,-y,z'
'x+1/2,y+1/2,z'
'-x+1/2,-y+1/2,-z'
'-x+1/2,y+1/2,-z'
'x+1/2,-y+1/2,z'
loop_
_atom_site_label
_atom_site_fract_x
_atom_site_fract_y
_atom_site_fract_z
_atom_site_occupancy
Ba1 0.0000 0.0000 0.0000 1
Ta1 0.0000 0.5000 0.5000 1
In1 0.2416 0.0000 0.6864 1
```